Entry 1:
ErTiGa4 after structural relaxation, computed with PBE.

Results
Energy relative to the lowest polymorph listed for this composition   22 meV per atom
DFT formation energy   -0.3781 eV per atom
Calculated volume   17.6 Å³/atom
Uncorrected energy   -4.47 eV/atom
Symmetry   F-43m

Unit cell a=5.304 b=5.304 c=5.304 alpha=60.00 beta=60.00 gamma=60.00
Positions (direct):
Er (0.000, 0.000, 0.000)
Ti (0.250, 0.250, 0.250)
Ga (0.126, 0.625, 0.625)
Ga (0.625, 0.126, 0.625)
Ga (0.625, 0.625, 0.126)
Ga (0.625, 0.625, 0.625)



Entry 2:
B5C3 after structural relaxation, computed with PBE.

Results
Energy relative to the lowest polymorph listed for this composition   213 meV per atom
DFT formation energy   0.4828 eV per atom
Calculated volume   6.9 Å³/atom
Uncorrected energy   -7.15 eV/atom
Symmetry   Pm

Unit cell a=4.488 b=2.658 c=4.841 alpha=90.00 beta=107.58 gamma=90.00
Positions (direct):
B (0.000, 0.000, 0.000)
B (0.006, 0.500, 0.416)
B (0.387, 0.000, 0.391)
B (0.414, 0.500, 0.615)
B (0.785, 0.000, 0.559)
C (0.364, 0.000, 0.054)
C (0.492, 0.500, 0.959)
C (0.846, 0.500, 0.068)



Entry 3:
CaZrSc after structural relaxation, computed with PBE.

Results
Energy relative to the lowest polymorph listed for this composition   0 meV per atom
DFT formation energy   0.1493 eV per atom
Calculated volume   27.9 Å³/atom
Uncorrected energy   -5.48 eV/atom
Symmetry   I4mm

Unit cell a=7.865 b=7.865 c=7.865 alpha=155.48 beta=155.48 gamma=34.95
Positions (direct):
Ca (0.000, 0.000, 0.000)
Zr (0.678, 0.678, 0.000)
Sc (0.311, 0.311, 0.000)